First-principles (PBE-GGA) data for an optimized crystal structure of Pm2YCd, as listed in the Alexandria database.

Cell: 7.848 7.848 7.848 Å, 90.00 90.00 90.00°
Space group Fm-3m (No. 225)
One atom of each set of equivalent atoms:
1 Pm 0.250 0.250 0.250 (multiplicity 8)
2 Y 0.000 0.000 0.000 (multiplicity 4)
3 Cd 0.000 0.000 0.500 (multiplicity 4)

ΔE to the lowest computed polymorph   131.0 meV per atom
DOS at the Fermi energy   1.42 states/eV per atom
ΔH_f (0 K)   -27 meV/atom
DFT total energy   -4.25 eV per atom

First-principles (PBE-GGA) data for an optimized crystal structure of P2C, as listed in the Alexandria database.

Cell: 2.705 2.705 4.772 Å, 90.00 90.00 90.00°
Space group P4/mmm (No. 123)
One atom of each set of equivalent atoms:
1 P 0.000 0.000 0.000 (multiplicity 1)
2 P 0.500 0.500 0.500 (multiplicity 1)
3 C 0.000 0.000 0.500 (multiplicity 1)

ΔE to the lowest computed polymorph   768.4 meV per atom
DOS at the Fermi energy   0.24 states/eV per atom
ΔH_f (0 K)   1199 meV/atom
DFT total energy   -5.48 eV per atom

First-principles (PBE-GGA) data for an optimized crystal structure of LiTeMo3, as listed in the Alexandria database.

Cell: 4.332 4.332 4.332 Å, 90.00 90.00 90.00°
Space group Pm-3m (No. 221)
One atom of each set of equivalent atoms:
1 Li 0.000 0.000 0.000 (multiplicity 1)
2 Te 0.500 0.500 0.500 (multiplicity 1)
3 Mo 0.000 0.000 0.500 (multiplicity 3)

ΔE to the lowest computed polymorph   0.0 meV per atom
DOS at the Fermi energy   1.16 states/eV per atom
DFT total energy   -6.19 eV per atom
ΔE_f (raw)   1321 meV/atom

First-principles (PBE-GGA) data for an optimized crystal structure of NiH2Os2, as listed in the Alexandria database.

Cell: 6.358 6.358 2.621 Å, 90.00 90.00 90.00°
Space group P4/mbm (No. 127)
One atom of each set of equivalent atoms:
1 Ni 0.000 0.000 0.000 (multiplicity 2)
2 H 0.231 0.269 0.500 (multiplicity 4)
3 Os 0.133 0.633 0.000 (multiplicity 4)

ΔE to the lowest computed polymorph   404.6 meV per atom
DOS at the Fermi energy   0.68 states/eV per atom
DFT total energy   -6.20 eV per atom

First-principles (PBE-GGA) data for an optimized crystal structure of VSiS, as listed in the Alexandria database.

Cell: 8.500 3.161 6.411 Å, 90.00 91.90 90.00°
Space group Cm (No. 8)
One atom of each set of equivalent atoms:
1 V 0.000 0.000 0.000 (multiplicity 2)
2 V 0.063 0.500 0.601 (multiplicity 2)
3 Si 0.168 0.000 0.345 (multiplicity 2)
4 Si 0.349 0.500 0.643 (multiplicity 2)
5 S 0.196 0.500 0.935 (multiplicity 2)
6 S 0.426 0.000 0.263 (multiplicity 2)

DOS at the Fermi energy   0.30 states/eV per atom
DFT total energy   -6.65 eV per atom
ΔE_f (raw)   -427 meV/atom

First-principles (PBE-GGA) data for an optimized crystal structure of ZrMo2Ru, as listed in the Alexandria database.

Cell: 7.462 7.462 5.231 Å, 90.00 90.00 90.00°
Space group I-42d (No. 122)
One atom of each set of equivalent atoms:
1 Zr 0.000 0.000 0.000 (multiplicity 4)
2 Mo 0.217 0.750 0.625 (multiplicity 8)
3 Ru 0.000 0.000 0.500 (multiplicity 4)

ΔE to the lowest computed polymorph   603.5 meV per atom
DOS at the Fermi energy   1.34 states/eV per atom
ΔH_f (0 K)   468 meV/atom
DFT total energy   -9.40 eV per atom